## InPbS2N (PBE)

Data for crystalline InPbS2N at its relaxed geometry.

a b c (Å): 5.3211 5.3211 4.4466
angles (deg): 90.00 90.00 90.00
Closest atoms and distances in Å follow each position.
Space group P4/mmm (No. 123)
One atom of each set of equivalent atoms:
In (0.0000, 0.0000, 0.0000) [1 per cell]  8 S 3.47, 4 N 3.76
Pb (0.5000, 0.5000, 0.5000) [1 per cell]  2 N 2.22
S (0.0000, 0.5000, 0.5000) [2 per cell]  2 Pb 2.66
N (0.5000, 0.5000, 0.0000) [1 per cell]  2 Pb 2.22

Results
energy above the most stable polymorph in this dataset	1.879	eV per formula unit

## TbCeNp2S4 (PBE)

Data for crystalline TbCeNp2S4 at its relaxed geometry.

a b c (Å): 6.7918 3.9408 6.8509
angles (deg): 90.00 109.49 90.00
Closest atoms and distances in Å follow each position.
Space group P2/m (No. 10)
One atom of each set of equivalent atoms:
Tb (0.0000, 0.0000, 0.0000) [1 per cell]  6 S 2.79
Ce (0.0000, 0.5000, 0.5000) [1 per cell]  6 S 2.82-2.83
Np (0.5000, 0.0000, 0.5000) [1 per cell]  6 S 2.78
Np (0.5000, 0.5000, 0.0000) [1 per cell]  6 S 2.74-2.75
S (0.2546, 0.5000, 0.2480) [2 per cell]  3 Np 2.75-2.78, 2 Tb 2.79, 1 Ce 2.82
S (0.2584, 0.0000, 0.7568) [2 per cell]  3 Np 2.74-2.78, 1 Tb 2.79, 2 Ce 2.83

## HgTeAsO6 (PBE)

Data for crystalline HgTeAsO6 at its relaxed geometry.

a b c (Å): 5.2504 5.2504 5.1799
angles (deg): 90.00 90.00 120.00
Closest atoms and distances in Å follow each position.
Space group P312 (No. 149)
One atom of each set of equivalent atoms:
Hg (0.0000, 0.0000, 0.0000) [1 per cell]  6 O 2.49
Te (0.3333, 0.6667, 0.5000) [1 per cell]  6 O 2.03
As (0.6667, 0.3333, 0.5000) [1 per cell]  6 O 1.90
O (0.3856, 0.0184, 0.7073) [6 per cell]  1 As 1.90, 1 Te 2.03

Going through the records in order, we get raw formation energy values of 0.830; -1.714; -0.828 eV/atom.
Going through the records in order, we get D(E_F) values of 0.683; 1.881; 0.210 states/eV per atom.